(1)
SmMg | PBE-GGA | relaxed

Cell lengths 3.458, 3.458, 5.629 Å; angles 90.00, 90.00, 120.00 degrees
Element x y z (fractional)
Sm 0.000 0.000 0.000
Mg 0.333 0.667 0.500

Values from the calculation:
* energy relative to the lowest polymorph listed for this composition: 0.166 eV/atom
* symmetry: No. 187
* M_tot: 0.03 μB per cell

=====

(2)
Sm3Mg2 | PBE-GGA | relaxed

Cell lengths 6.689, 6.689, 6.689 Å; angles 91.37, 91.37, 91.37 degrees
Element x y z (fractional)
Sm 0.075 0.750 0.425
Sm 0.250 0.575 0.925
Sm 0.425 0.075 0.750
Sm 0.575 0.925 0.250
Sm 0.750 0.425 0.075
Sm 0.925 0.250 0.575
Mg 0.124 0.124 0.124
Mg 0.376 0.376 0.376
Mg 0.624 0.624 0.624
Mg 0.876 0.876 0.876

Values from the calculation:
* uncorrected energy: -3.439 eV per atom
* symmetry: No. 167
* M_tot: 0.03 μB per cell

=====

(3)
SmMg | PBE-GGA | relaxed

Cell lengths 7.004, 17.988, 5.429 Å; angles 90.00, 90.00, 90.00 degrees
Element x y z (fractional)
Sm 0.117 0.033 0.250
Sm 0.117 0.467 0.750
Sm 0.366 0.521 0.250
Sm 0.366 0.979 0.750
Sm 0.379 0.190 0.250
Sm 0.379 0.310 0.750
Sm 0.621 0.690 0.250
Sm 0.621 0.810 0.750
Sm 0.634 0.021 0.250
Sm 0.634 0.479 0.750
Sm 0.883 0.533 0.250
Sm 0.883 0.967 0.750
Mg 0.110 0.144 0.750
Mg 0.110 0.356 0.250
Mg 0.128 0.697 0.250
Mg 0.128 0.803 0.750
Mg 0.360 0.639 0.750
Mg 0.360 0.861 0.250
Mg 0.640 0.139 0.750
Mg 0.640 0.361 0.250
Mg 0.872 0.197 0.250
Mg 0.872 0.303 0.750
Mg 0.890 0.644 0.750
Mg 0.890 0.856 0.250

Values from the calculation:
* energy relative to the lowest polymorph listed for this composition: 0.121 eV/atom
* symmetry: No. 57
* M_tot: 0.09 μB per cell

=====

(4)
SmMg | PBE-GGA | relaxed

Cell lengths 5.452, 10.086, 6.219 Å; angles 90.00, 90.00, 90.00 degrees
Element x y z (fractional)
Sm 0.000 0.068 0.000
Sm 0.000 0.400 0.072
Sm 0.000 0.600 0.572
Sm 0.000 0.932 0.500
Sm 0.500 0.407 0.736
Sm 0.500 0.593 0.236
Mg 0.000 0.254 0.546
Mg 0.000 0.746 0.046
Mg 0.500 0.084 0.699
Mg 0.500 0.230 0.239
Mg 0.500 0.770 0.739
Mg 0.500 0.916 0.199

Values from the calculation:
* energy relative to the lowest polymorph listed for this composition: 0.104 eV/atom
* symmetry: No. 26
* M_tot: 0.08 μB per cell

=====

(5)
SmMg | PBE-GGA | relaxed

Cell lengths 6.809, 6.108, 5.541 Å; angles 90.00, 90.00, 90.00 degrees
Element x y z (fractional)
Sm 0.142 0.078 0.250
Sm 0.142 0.422 0.750
Sm 0.858 0.578 0.250
Sm 0.858 0.922 0.750
Mg 0.370 0.593 0.250
Mg 0.370 0.907 0.750
Mg 0.630 0.093 0.250
Mg 0.630 0.407 0.750

Values from the calculation:
* energy relative to the lowest polymorph listed for this composition: 0.105 eV/atom
* symmetry: No. 57
* M_tot: 0.01 μB per cell

=====

(6)
SmMg | PBE-GGA | relaxed

Cell lengths 5.514, 6.980, 5.975 Å; angles 90.00, 90.00, 90.00 degrees
Element x y z (fractional)
Sm 0.000 0.000 0.000
Sm 0.000 0.256 0.515
Sm 0.000 0.744 0.515
Sm 0.500 0.000 0.365
Mg 0.000 0.500 0.020
Mg 0.500 0.264 0.853
Mg 0.500 0.500 0.335
Mg 0.500 0.736 0.853

Values from the calculation:
* energy relative to the lowest polymorph listed for this composition: 0.141 eV/atom
* symmetry: No. 25
* M_tot: 0.03 μB per cell

=====

(7)
SmMg | PBE-GGA | relaxed

Cell lengths 6.856, 5.385, 9.306 Å; angles 90.00, 90.03, 90.00 degrees
Element x y z (fractional)
Sm 0.008 0.250 0.088
Sm 0.252 0.250 0.743
Sm 0.255 0.750 0.254
Sm 0.745 0.250 0.746
Sm 0.748 0.750 0.257
Sm 0.992 0.750 0.912
Mg 0.007 0.750 0.573
Mg 0.490 0.750 0.923
Mg 0.494 0.250 0.410
Mg 0.506 0.750 0.590
Mg 0.510 0.250 0.077
Mg 0.993 0.250 0.427

Values from the calculation:
* energy relative to the lowest polymorph listed for this composition: 0.074 eV/atom
* symmetry: No. 11
* M_tot: 0.01 μB per cell

=====

(8)
SmMg2 | PBE-GGA | relaxed

Cell lengths 5.033, 12.805, 4.931 Å; angles 90.00, 90.00, 90.00 degrees
Element x y z (fractional)
Sm 0.250 0.086 0.003
Sm 0.250 0.414 0.003
Sm 0.750 0.586 0.997
Sm 0.750 0.914 0.997
Mg 0.250 0.250 0.503
Mg 0.250 0.591 0.500
Mg 0.250 0.750 0.999
Mg 0.250 0.909 0.500
Mg 0.750 0.091 0.500
Mg 0.750 0.250 0.001
Mg 0.750 0.409 0.500
Mg 0.750 0.750 0.497

Values from the calculation:
* uncorrected energy: -2.623 eV per atom
* symmetry: No. 59
* M_tot: 0.00 μB per cell

=====

(9)
SmMg | PBE-GGA | relaxed

Cell lengths 5.397, 13.339, 6.402 Å; angles 90.00, 90.00, 90.00 degrees
Element x y z (fractional)
Sm 0.250 0.105 0.098
Sm 0.250 0.250 0.596
Sm 0.250 0.395 0.098
Sm 0.250 0.750 0.749
Sm 0.750 0.250 0.251
Sm 0.750 0.605 0.902
Sm 0.750 0.750 0.404
Sm 0.750 0.895 0.902
Mg 0.250 0.504 0.622
Mg 0.250 0.637 0.225
Mg 0.250 0.863 0.225
Mg 0.250 0.996 0.622
Mg 0.750 0.004 0.378
Mg 0.750 0.137 0.775
Mg 0.750 0.363 0.775
Mg 0.750 0.496 0.378

Values from the calculation:
* energy relative to the lowest polymorph listed for this composition: 0.083 eV/atom
* symmetry: No. 59
* M_tot: 0.00 μB per cell

=====

(10)
SmMg2 | PBE-GGA | relaxed

Cell lengths 5.750, 5.750, 5.474 Å; angles 90.00, 90.00, 62.82 degrees
Element x y z (fractional)
Sm 0.174 0.826 0.750
Sm 0.826 0.174 0.250
Mg 0.178 0.491 0.250
Mg 0.491 0.178 0.750
Mg 0.509 0.822 0.250
Mg 0.822 0.509 0.750

Values from the calculation:
* uncorrected energy: -2.596 eV per atom
* symmetry: No. 63
* M_tot: 0.00 μB per cell

=====

(11)
SmMg2 | PBE-GGA | relaxed

Cell lengths 8.905, 8.905, 5.512 Å; angles 90.00, 90.00, 158.42 degrees
Element x y z (fractional)
Sm 0.107 0.893 0.750
Sm 0.893 0.107 0.250
Mg 0.219 0.781 0.250
Mg 0.442 0.558 0.750
Mg 0.558 0.442 0.250
Mg 0.781 0.219 0.750

Values from the calculation:
* uncorrected energy: -2.628 eV per atom
* symmetry: No. 63
* M_tot: 0.01 μB per cell

=====

(12)
Sm2Mg | PBE-GGA | relaxed

Cell lengths 9.494, 9.494, 9.494 Å; angles 60.00, 60.00, 60.00 degrees
Element x y z (fractional)
Sm 0.000 0.000 0.000
Sm 0.000 0.000 0.500
Sm 0.000 0.500 0.000
Sm 0.500 0.000 0.000
Mg 0.125 0.125 0.125
Mg 0.875 0.875 0.875

Values from the calculation:
* energy relative to the lowest polymorph listed for this composition: 1.945 eV/atom
* symmetry: No. 227
* M_tot: 1.23 μB per cell

=====

(13)
SmMg | PBE-GGA | relaxed

Cell lengths 5.543, 9.130, 9.130 Å; angles 141.79, 90.00, 90.00 degrees
Element x y z (fractional)
Sm 0.000 0.000 0.000
Sm 0.000 0.419 0.626
Sm 0.000 0.626 0.419
Sm 0.500 0.053 0.266
Sm 0.500 0.266 0.053
Mg 0.000 0.202 0.794
Mg 0.000 0.794 0.202
Mg 0.500 0.480 0.880
Mg 0.500 0.662 0.662
Mg 0.500 0.880 0.480

Values from the calculation:
* energy relative to the lowest polymorph listed for this composition: 0.098 eV/atom
* symmetry: No. 38
* M_tot: 0.10 μB per cell

=====

(14)
SmMg2 | PBE-GGA | relaxed

Cell lengths 7.732, 7.732, 5.231 Å; angles 90.00, 90.00, 148.87 degrees
Element x y z (fractional)
Sm 0.084 0.916 0.750
Sm 0.916 0.084 0.250
Mg 0.242 0.758 0.250
Mg 0.407 0.593 0.750
Mg 0.593 0.407 0.250
Mg 0.758 0.242 0.750

Values from the calculation:
* uncorrected energy: -2.650 eV per atom
* symmetry: No. 63
* M_tot: 0.00 μB per cell

=====

(15)
SmMg | PBE-GGA | relaxed

Cell lengths 5.015, 5.015, 8.213 Å; angles 90.00, 90.00, 120.00 degrees
Element x y z (fractional)
Sm 0.333 0.667 0.000
Sm 0.667 0.333 0.500
Mg 0.333 0.667 0.625
Mg 0.667 0.333 0.125

Values from the calculation:
* energy relative to the lowest polymorph listed for this composition: 1.295 eV/atom
* symmetry: No. 186
* M_tot: 1.28 μB per cell

=====

(16)
SmMg | PBE-GGA | relaxed

Cell lengths 5.441, 3.833, 5.446 Å; angles 90.00, 90.00, 90.00 degrees
Element x y z (fractional)
Sm 0.250 0.000 0.249
Sm 0.750 0.000 0.751
Mg 0.250 0.500 0.749
Mg 0.750 0.500 0.251

Values from the calculation:
* energy relative to the lowest polymorph listed for this composition: 0.000 eV/atom
* symmetry: No. 51
* M_tot: 0.01 μB per cell

=====

(17)
SmMg3 | PBE-GGA | relaxed

Cell lengths 6.767, 6.767, 5.207 Å; angles 90.00, 90.00, 119.92 degrees
Element x y z (fractional)
Sm 0.167 0.833 0.750
Sm 0.833 0.167 0.250
Mg 0.175 0.338 0.750
Mg 0.338 0.175 0.250
Mg 0.338 0.662 0.250
Mg 0.662 0.338 0.750
Mg 0.662 0.825 0.750
Mg 0.825 0.662 0.250

Values from the calculation:
* uncorrected energy: -2.428 eV per atom
* symmetry: No. 63
* M_tot: 0.04 μB per cell

=====

(18)
SmMg | PBE-GGA | relaxed

Cell lengths 6.917, 6.917, 5.586 Å; angles 90.00, 90.00, 120.00 degrees
Element x y z (fractional)
Sm 0.000 0.000 0.000
Sm 0.333 0.167 0.500
Sm 0.833 0.167 0.500
Sm 0.833 0.667 0.500
Mg 0.333 0.667 0.500
Mg 0.502 0.004 0.000
Mg 0.502 0.498 0.000
Mg 0.996 0.498 0.000

Values from the calculation:
* energy relative to the lowest polymorph listed for this composition: 0.162 eV/atom
* symmetry: No. 187
* M_tot: 0.04 μB per cell

=====

(19)
SmMg | PBE-GGA | relaxed

Cell lengths 7.305, 5.473, 8.918 Å; angles 90.00, 101.76, 90.00 degrees
Element x y z (fractional)
Sm 0.034 0.250 0.119
Sm 0.305 0.750 0.237
Sm 0.464 0.750 0.869
Sm 0.536 0.250 0.131
Sm 0.695 0.250 0.763
Sm 0.966 0.750 0.881
Mg 0.119 0.750 0.550
Mg 0.192 0.250 0.777
Mg 0.350 0.250 0.463
Mg 0.650 0.750 0.537
Mg 0.808 0.750 0.223
Mg 0.881 0.250 0.450

Values from the calculation:
* energy relative to the lowest polymorph listed for this composition: 0.119 eV/atom
* symmetry: No. 11
* M_tot: 0.02 μB per cell

=====

(20)
SmMg2 | PBE-GGA | relaxed

Cell lengths 6.249, 6.249, 5.877 Å; angles 90.00, 90.00, 90.00 degrees
Element x y z (fractional)
Sm 0.000 0.000 0.000
Sm 0.500 0.500 0.500
Mg 0.158 0.158 0.500
Mg 0.342 0.658 0.000
Mg 0.658 0.342 0.000
Mg 0.842 0.842 0.500

Values from the calculation:
* uncorrected energy: -1.818 eV per atom
* symmetry: No. 136
* M_tot: 0.32 μB per cell